Arrangement 1

## CaNiHg3 (GGA-PBE)

Data for a geometry-optimized CaNiHg3 structure.

Cell: 5.021 5.021 5.021 Å, 90.00 90.00 90.00°
Fractional coordinates of all 5 atoms:
Ca 0.000 0.000 0.000
Ni 0.500 0.500 0.500
Hg 0.000 0.500 0.500
Hg 0.500 0.000 0.500
Hg 0.500 0.500 0.000

Properties
Crystal system: cubic

Arrangement 2

## CaNiHg3 (GGA-PBE)

Data for a geometry-optimized CaNiHg3 structure.

Cell: 5.960 5.960 5.960 Å, 90.00 90.00 90.00°
Fractional coordinates of all 5 atoms:
Ca 0.000 0.000 0.000
Ni 0.500 0.500 0.500
Hg 0.000 0.000 0.500
Hg 0.000 0.500 0.000
Hg 0.500 0.000 0.000

Properties
Crystal system: cubic

Short version: arrangement 1 is the most stable of them.

Arrangement 1

## CaTl2NiHg (GGA-PBE)

Data for a geometry-optimized CaTl2NiHg structure.

Cell: 5.072 5.072 5.114 Å, 90.00 90.00 90.00°
Fractional coordinates of all 5 atoms:
Ca 0.000 0.000 0.000
Tl 0.000 0.500 0.500
Tl 0.500 0.000 0.500
Ni 0.500 0.500 0.500
Hg 0.500 0.500 0.000

Properties
Crystal system: tetragonal

Arrangement 2

## CaTl2NiHg (GGA-PBE)

Data for a geometry-optimized CaTl2NiHg structure.

Cell: 5.064 5.064 5.409 Å, 90.00 90.00 90.00°
Fractional coordinates of all 5 atoms:
Ca 0.000 0.000 0.000
Tl 0.000 0.500 0.500
Tl 0.500 0.000 0.500
Ni 0.000 0.000 0.500
Hg 0.500 0.500 0.000

Properties
Crystal system: tetragonal

Short version: arrangement 2 is the most stable of them.

Arrangement 1

## CaHg2O (GGA-PBE)

Data for a geometry-optimized CaHg2O structure.

Cell: 4.946 4.946 4.946 Å, 60.00 60.00 60.00°
Fractional coordinates of all 4 atoms:
Ca 0.000 0.000 0.000
Hg 0.250 0.250 0.250
Hg 0.750 0.750 0.750
O 0.500 0.500 0.500

Properties
Crystal system: cubic

Arrangement 2

## CaHg2O (GGA-PBE)

Data for a geometry-optimized CaHg2O structure.

Cell: 7.527 7.527 7.527 Å, 94.68 94.68 146.82°
Fractional coordinates of all 8 atoms:
Ca 0.000 0.000 0.000
Ca 0.750 0.250 0.500
Hg 0.234 0.125 0.609
Hg 0.375 0.766 0.891
Hg 0.516 0.625 0.391
Hg 0.875 0.484 0.109
O 0.250 0.750 0.500
O 0.500 0.500 0.000

Properties
Crystal system: tetragonal

Short version: arrangement 2 is the most stable of them.

Arrangement 1

## CaHg2O2 (GGA-PBE)

Data for a geometry-optimized CaHg2O2 structure.

Cell: 6.639 6.639 4.358 Å, 90.00 90.00 90.00°
Fractional coordinates of all 10 atoms:
Ca 0.000 0.000 0.000
Ca 0.500 0.500 0.000
Hg 0.149 0.351 0.500
Hg 0.351 0.851 0.500
Hg 0.649 0.149 0.500
Hg 0.851 0.649 0.500
O 0.241 0.259 0.000
O 0.259 0.759 0.000
O 0.741 0.241 0.000
O 0.759 0.741 0.000

Properties
Crystal system: tetragonal

Arrangement 2

## CaHg2O2 (GGA-PBE)

Data for a geometry-optimized CaHg2O2 structure.

Cell: 7.630 7.630 7.630 Å, 151.30 151.30 41.04°
Fractional coordinates of all 5 atoms:
Ca 0.000 0.000 0.000
Hg 0.250 0.750 0.500
Hg 0.750 0.250 0.500
O 0.446 0.446 0.000
O 0.554 0.554 0.000

Properties
Crystal system: tetragonal

Short version: arrangement 1 is the most stable of them.

Arrangement 1

## CaHgO (GGA-PBE)

Data for a geometry-optimized CaHgO structure.

Cell: 3.780 3.780 8.798 Å, 90.00 90.00 90.00°
Fractional coordinates of all 6 atoms:
Ca 0.250 0.250 0.127
Ca 0.750 0.750 0.873
Hg 0.250 0.750 0.500
Hg 0.750 0.250 0.500
O 0.250 0.250 0.878
O 0.750 0.750 0.122

Properties
Crystal system: tetragonal

Arrangement 2

## CaHgO (GGA-PBE)

Data for a geometry-optimized CaHgO structure.

Cell: 7.300 7.300 7.300 Å, 148.14 138.13 53.56°
Fractional coordinates of all 6 atoms:
Ca 0.212 0.212 0.000
Ca 0.788 0.788 0.000
Hg 0.252 0.500 0.752
Hg 0.748 0.500 0.248
O 0.282 0.782 0.500
O 0.718 0.218 0.500

Properties
Crystal system: orthorhombic

Short version: arrangement 2 is the most stable of them.

Arrangement 1

## CaHgOs (GGA-PBE)

Data for a geometry-optimized CaHgOs structure.

Cell: 4.805 4.805 4.805 Å, 60.00 60.00 60.00°
Fractional coordinates of all 3 atoms:
Ca 0.000 0.000 0.000
Hg 0.750 0.750 0.750
Os 0.250 0.250 0.250

Properties
Crystal system: cubic

Arrangement 2

## CaHgOs (GGA-PBE)

Data for a geometry-optimized CaHgOs structure.

Cell: 4.715 4.715 4.715 Å, 60.00 60.00 60.00°
Fractional coordinates of all 3 atoms:
Ca 0.000 0.000 0.000
Hg 0.500 0.500 0.500
Os 0.250 0.250 0.250

Properties
Crystal system: cubic

Short version: arrangement 2 is the most stable of them.

Arrangement 1

## CaHgOs (GGA-PBE)

Data for a geometry-optimized CaHgOs structure.

Cell: 3.116 3.116 7.269 Å, 90.00 90.00 120.00°
Fractional coordinates of all 3 atoms:
Ca 0.000 0.000 0.000
Hg 0.333 0.667 0.363
Os 0.667 0.333 0.686

Properties
Crystal system: trigonal

Arrangement 2

## CaHgOs (GGA-PBE)

Data for a geometry-optimized CaHgOs structure.

Cell: 5.410 5.410 5.410 Å, 149.28 131.24 58.74°
Fractional coordinates of all 3 atoms:
Ca 0.000 0.000 0.000
Hg 0.682 0.682 0.000
Os 0.329 0.329 0.000

Properties
Crystal system: orthorhombic

Short version: arrangement 2 is the most stable of them.

Arrangement 1

## CaHgOs (GGA-PBE)

Data for a geometry-optimized CaHgOs structure.

Cell: 4.952 4.952 2.880 Å, 90.00 90.00 120.00°
Fractional coordinates of all 3 atoms:
Ca 0.000 0.000 0.000
Hg 0.667 0.333 0.500
Os 0.333 0.667 0.500

Properties
Crystal system: hexagonal

Arrangement 2

## CaHgOs (GGA-PBE)

Data for a geometry-optimized CaHgOs structure.

Cell: 7.085 7.085 7.085 Å, 155.61 155.61 34.77°
Fractional coordinates of all 3 atoms:
Ca 0.000 0.000 0.000
Hg 0.314 0.314 0.000
Os 0.659 0.659 0.000

Properties
Crystal system: tetragonal

Short version: arrangement 1 is the most stable of them.

Arrangement 1

## Ca2HgOs2 (GGA-PBE)

Data for a geometry-optimized Ca2HgOs2 structure.

Cell: 5.609 5.609 5.609 Å, 119.22 119.22 91.35°
Fractional coordinates of all 5 atoms:
Ca 0.250 0.750 0.500
Ca 0.750 0.250 0.500
Hg 0.000 0.000 0.000
Os 0.352 0.352 0.000
Os 0.648 0.648 0.000

Properties
Crystal system: tetragonal

Arrangement 2

## Ca2HgOs2 (GGA-PBE)

Data for a geometry-optimized Ca2HgOs2 structure.

Cell: 6.922 6.922 4.658 Å, 90.00 90.00 90.00°
Fractional coordinates of all 10 atoms:
Ca 0.174 0.326 0.000
Ca 0.326 0.826 0.000
Ca 0.674 0.174 0.000
Ca 0.826 0.674 0.000
Hg 0.000 0.000 0.500
Hg 0.500 0.500 0.500
Os 0.119 0.619 0.500
Os 0.381 0.119 0.500
Os 0.619 0.881 0.500
Os 0.881 0.381 0.500

Properties
Crystal system: tetragonal

Short version: arrangement 2 is the most stable of them.

Arrangement 1

## CaHgOs3 (GGA-PBE)

Data for a geometry-optimized CaHgOs3 structure.

Cell: 4.735 4.735 4.735 Å, 90.00 90.00 90.00°
Fractional coordinates of all 5 atoms:
Ca 0.000 0.000 0.000
Hg 0.500 0.500 0.500
Os 0.000 0.000 0.500
Os 0.000 0.500 0.000
Os 0.500 0.000 0.000

Properties
Crystal system: cubic

Arrangement 2

## CaHgOs3 (GGA-PBE)

Data for a geometry-optimized CaHgOs3 structure.

Cell: 4.996 4.996 4.996 Å, 90.00 90.00 90.00°
Fractional coordinates of all 5 atoms:
Ca 0.000 0.000 0.000
Hg 0.500 0.500 0.500
Os 0.000 0.500 0.500
Os 0.500 0.000 0.500
Os 0.500 0.500 0.000

Properties
Crystal system: cubic

Short version: arrangement 2 is the most stable of them.

Arrangement 1

## Ca2HgP (GGA-PBE)

Data for a geometry-optimized Ca2HgP structure.

Cell: 3.604 3.758 7.186 Å, 90.00 90.00 90.00°
Fractional coordinates of all 4 atoms:
Ca 0.000 0.000 0.216
Ca 0.000 0.000 0.784
Hg 0.500 0.500 0.500
P 0.500 0.500 0.000

Properties
Crystal system: orthorhombic

Arrangement 2

## Ca2HgP (GGA-PBE)

Data for a geometry-optimized Ca2HgP structure.

Cell: 4.327 4.327 5.967 Å, 90.00 90.00 90.00°
Fractional coordinates of all 4 atoms:
Ca 0.000 0.000 0.000
Ca 0.500 0.500 0.499
Hg 0.000 0.000 0.500
P 0.500 0.500 0.999

Properties
Crystal system: tetragonal

Arrangement 3

## Ca2HgP (GGA-PBE)

Data for a geometry-optimized Ca2HgP structure.

Cell: 7.602 7.602 7.602 Å, 32.78 32.78 32.78°
Fractional coordinates of all 4 atoms:
Ca 0.000 0.000 0.000
Ca 0.202 0.202 0.202
Hg 0.436 0.436 0.436
P 0.599 0.599 0.599

Properties
Crystal system: trigonal

Arrangement 4

## Ca2HgP (GGA-PBE)

Data for a geometry-optimized Ca2HgP structure.

Cell: 7.617 7.617 7.617 Å, 150.97 148.13 43.64°
Fractional coordinates of all 4 atoms:
Ca 0.000 0.000 0.000
Ca 0.704 0.204 0.500
Hg 0.321 0.821 0.500
P 0.555 0.555 0.000

Properties
Crystal system: orthorhombic

Short version: arrangement 3 is the most stable of them.

Arrangement 1

## CaHgP3 (GGA-PBE)

Data for a geometry-optimized CaHgP3 structure.

Cell: 5.029 5.029 5.029 Å, 90.00 90.00 90.00°
Fractional coordinates of all 5 atoms:
Ca 0.000 0.000 0.000
Hg 0.500 0.500 0.500
P 0.000 0.500 0.500
P 0.500 0.000 0.500
P 0.500 0.500 0.000

Properties
Crystal system: cubic

Arrangement 2

## CaHgP3 (GGA-PBE)

Data for a geometry-optimized CaHgP3 structure.

Cell: 5.229 5.229 5.229 Å, 90.00 90.00 90.00°
Fractional coordinates of all 5 atoms:
Ca 0.000 0.000 0.000
Hg 0.500 0.500 0.500
P 0.000 0.000 0.500
P 0.000 0.500 0.000
P 0.500 0.000 0.000

Properties
Crystal system: cubic

Short version: arrangement 1 is the most stable of them.